The following is a PBE calculation of a geometry-optimized PuSbPb structure, from Alexandria via LeMat-Bulk.

Summary:
Energy above the lowest structure with this stoichiometry = 0 meV per atom
Space-group type = I4mm, No. 107
Uncorrected formation energy = -0.52 eV per formula unit
Magnetization = 6.1 μB per formula unit
Uncorrected energy = -7.5612 eV/atom

a b c (Å): 6.0581 6.0581 6.0581
angles (deg): 141.95 141.95 54.91
Positions (direct):
1 Pu 0.0000 0.0000 0.0000
2 Sb 0.6638 0.6638 0.0000
3 Pb 0.3129 0.3129 0.0000

The following is a PBE calculation of a geometry-optimized AlTe2Se structure, from Alexandria via LeMat-Bulk.

Summary:
Space-group type = F-43m, No. 216
Uncorrected formation energy = 1.08 eV per formula unit
Magnetization = 0.0 μB per formula unit
Uncorrected energy = -3.1073 eV/atom

a b c (Å): 5.1543 5.1543 5.1543
angles (deg): 60.00 60.00 60.00
Positions (direct):
1 Al 0.0000 0.0000 0.0000
2 Te 0.5000 0.5000 0.5000
3 Te 0.7500 0.7500 0.7500
4 Se 0.2500 0.2500 0.2500

The following is a PBE calculation of a geometry-optimized Cs2KAu structure, from Alexandria via LeMat-Bulk.

Summary:
DFT formation energy = -150 meV per atom
Energy above the lowest structure with this stoichiometry = 21 meV per atom
Space-group type = Amm2, No. 38
Magnetization = 0.0 μB per formula unit
Uncorrected energy = -1.6703 eV/atom

a b c (Å): 12.8521 4.9586 4.9586
angles (deg): 61.47 90.00 90.00
Positions (direct):
1 Cs 0.1721 0.0000 0.0000
2 Cs 0.8279 0.0000 0.0000
3 K 0.5000 0.6278 0.6278
4 Au 0.0000 0.3392 0.3392

The following is a PBE calculation of a geometry-optimized ZnCd2Cl structure, from Alexandria via LeMat-Bulk.

Summary:
Energy above the lowest structure with this stoichiometry = 27 meV per atom
Space-group type = R3m, No. 160
Uncorrected formation energy = -0.88 eV per formula unit
Magnetization = 0.0 μB per formula unit
Uncorrected energy = -1.4578 eV/atom

a b c (Å): 8.3786 8.3786 8.3786
angles (deg): 24.63 24.63 24.63
Positions (direct):
1 Zn 0.0000 0.0000 0.0000
2 Cd 0.2565 0.2565 0.2565
3 Cd 0.5019 0.5019 0.5019
4 Cl 0.7353 0.7353 0.7353

The following is a PBE calculation of a geometry-optimized BeGa3Ni12 structure, from Alexandria via LeMat-Bulk.

Summary:
DFT formation energy = -253 meV per atom
Space-group type = P4/mmm, No. 123
Magnetization = 3.5 μB per formula unit
Uncorrected energy = -5.3892 eV/atom

a b c (Å): 3.5586 3.5586 14.0862
angles (deg): 90.00 90.00 90.00
Positions (direct):
1 Be 0.0000 0.0000 0.0000
2 Ga 0.0000 0.0000 0.2436
3 Ga 0.0000 0.0000 0.5000
4 Ga 0.0000 0.0000 0.7564
5 Ni 0.0000 0.5000 0.1149
6 Ni 0.0000 0.5000 0.3718
7 Ni 0.0000 0.5000 0.6282
8 Ni 0.0000 0.5000 0.8851
9 Ni 0.5000 0.0000 0.1149
10 Ni 0.5000 0.0000 0.3718
11 Ni 0.5000 0.0000 0.6282
12 Ni 0.5000 0.0000 0.8851
13 Ni 0.5000 0.5000 0.0000
14 Ni 0.5000 0.5000 0.2440
15 Ni 0.5000 0.5000 0.5000
16 Ni 0.5000 0.5000 0.7560

Question: Number 4 is which compound?
Answer: ZnCd2Cl

Question: Which formula does entry 1 have?
Answer: PuSbPb